VASP calculation (GGA-PBE) on a relaxed Nd2N crystal.

Unit cell a=10.7530 b=10.7530 c=10.7530 alpha=90.00 beta=90.00 gamma=90.00
Closest atoms and distances in Å follow each position.
Space group Fd-3m (No. 227, origin choice 2)
One atom of each set of equivalent atoms:
Nd: 0.0000 0.0000 0.0000 [16 per cell]  2 N 2.33
N: 0.1250 0.1250 0.1250 [8 per cell]  4 Nd 2.33

Summary:
Total energy in eV per cell: -140.1
Crystal system: cubic
Magnetic moment in μB per cell: 8.1